# TbAs2 (GGA-PBE, relaxed)
# - E_tot (eV per formula unit) = -16.43
data_TbAs2
_symmetry_space_group_name_H-M 'P 1'
_symmetry_Int_Tables_number 1
_symmetry_space_group_name_Hall 'P 1'
_cell_length_a 7.408
_cell_length_b 5.621
_cell_length_c 7.550
_cell_angle_alpha 90.00
_cell_angle_beta 112.05
_cell_angle_gamma 90.00
loop_
_atom_site_label
_atom_site_fract_x
_atom_site_fract_y
_atom_site_fract_z
As1 0.105 0.061 0.173
As2 0.357 0.144 0.666
As3 0.105 0.439 0.673
As4 0.895 0.561 0.327
As5 0.643 0.856 0.334
As6 0.895 0.939 0.827
As7 0.357 0.356 0.166
As8 0.643 0.644 0.834
Tb1 0.694 0.304 0.548
Tb2 0.306 0.696 0.452
Tb3 0.306 0.804 0.952
Tb4 0.694 0.196 0.048

---

# DyHoTm2 (GGA-PBE, relaxed)
# - energy relative to the elements (meV/atom) = 3
data_DyHoTm2
_symmetry_space_group_name_H-M 'P 1'
_symmetry_Int_Tables_number 1
_symmetry_space_group_name_Hall 'P 1'
_cell_length_a 5.543
_cell_length_b 7.149
_cell_length_c 7.149
_cell_angle_alpha 120.00
_cell_angle_beta 90.00
_cell_angle_gamma 90.00
loop_
_atom_site_label
_atom_site_fract_x
_atom_site_fract_y
_atom_site_fract_z
Tm1 0.250 0.667 0.834
Tm2 0.250 0.167 0.834
Tm3 0.750 0.834 0.167
Tm4 0.750 0.834 0.667
Ho1 0.750 0.333 0.667
Ho2 0.250 0.667 0.333
Dy1 0.750 0.333 0.166
Dy2 0.250 0.166 0.333

---

# GdBeO3 (GGA-PBE, relaxed)
# - E_tot (eV per formula unit) = -35.97
data_GdBeO3
_symmetry_space_group_name_H-M 'P 1'
_symmetry_Int_Tables_number 1
_symmetry_space_group_name_Hall 'P 1'
_cell_length_a 5.816
_cell_length_b 5.816
_cell_length_c 5.816
_cell_angle_alpha 54.91
_cell_angle_beta 54.91
_cell_angle_gamma 54.91
loop_
_atom_site_label
_atom_site_fract_x
_atom_site_fract_y
_atom_site_fract_z
O1 0.037 0.750 0.463
O2 0.250 0.537 0.963
O3 0.750 0.463 0.037
O4 0.537 0.963 0.250
O5 0.963 0.250 0.537
O6 0.463 0.037 0.750
Be1 0.750 0.750 0.750
Be2 0.250 0.250 0.250
Gd1 0.500 0.500 0.500
Gd2 0.000 0.000 0.000

---

# YZnFePt (GGA-PBE, relaxed)
# - energy relative to the elements (meV/atom) = -264
data_YZnFePt
_symmetry_space_group_name_H-M 'P 1'
_symmetry_Int_Tables_number 1
_symmetry_space_group_name_Hall 'P 1'
_cell_length_a 4.667
_cell_length_b 4.667
_cell_length_c 4.667
_cell_angle_alpha 60.00
_cell_angle_beta 60.00
_cell_angle_gamma 60.00
loop_
_atom_site_label
_atom_site_fract_x
_atom_site_fract_y
_atom_site_fract_z
Y1 0.250 0.250 0.250
Fe1 0.750 0.750 0.750
Zn1 0.000 0.000 0.000
Pt1 0.500 0.500 0.500

---

# YZnFeTc (GGA-PBE, relaxed)
# - energy relative to the elements (meV/atom) = 334
data_YZnFeTc
_symmetry_space_group_name_H-M 'P 1'
_symmetry_Int_Tables_number 1
_symmetry_space_group_name_Hall 'P 1'
_cell_length_a 4.554
_cell_length_b 4.554
_cell_length_c 4.554
_cell_angle_alpha 60.00
_cell_angle_beta 60.00
_cell_angle_gamma 60.00
loop_
_atom_site_label
_atom_site_fract_x
_atom_site_fract_y
_atom_site_fract_z
Zn1 0.000 0.000 0.000
Y1 0.500 0.500 0.500
Fe1 0.750 0.750 0.750
Tc1 0.250 0.250 0.250

---

# Hf3As4C4 (GGA-PBE, relaxed)
# - E_tot (eV per formula unit) = -83.03
data_Hf3As4C4
_symmetry_space_group_name_H-M 'P 1'
_symmetry_Int_Tables_number 1
_symmetry_space_group_name_Hall 'P 1'
_cell_length_a 6.665
_cell_length_b 3.340
_cell_length_c 7.713
_cell_angle_alpha 90.00
_cell_angle_beta 96.92
_cell_angle_gamma 90.00
loop_
_atom_site_label
_atom_site_fract_x
_atom_site_fract_y
_atom_site_fract_z
C1 0.145 0.500 0.614
C2 0.558 0.000 0.972
C3 0.431 0.500 0.290
C4 0.838 0.000 0.388
As1 0.803 0.000 0.866
As2 0.596 0.000 0.229
As3 0.165 0.500 0.124
As4 0.446 0.500 0.686
Hf1 0.218 0.000 0.845
Hf2 0.173 0.000 0.414
Hf3 0.825 0.500 0.568

---

# DyTm2Tc (GGA-PBE, relaxed)
# - energy relative to the elements (meV/atom) = -135
data_DyTm2Tc
_symmetry_space_group_name_H-M 'P 1'
_symmetry_Int_Tables_number 1
_symmetry_space_group_name_Hall 'P 1'
_cell_length_a 7.434
_cell_length_b 8.993
_cell_length_c 6.164
_cell_angle_alpha 90.00
_cell_angle_beta 90.00
_cell_angle_gamma 90.00
loop_
_atom_site_label
_atom_site_fract_x
_atom_site_fract_y
_atom_site_fract_z
Tc1 0.883 0.750 0.953
Tc2 0.117 0.250 0.047
Tc3 0.383 0.750 0.547
Tc4 0.617 0.250 0.453
Tm1 0.176 0.937 0.846
Tm2 0.176 0.563 0.846
Tm3 0.676 0.937 0.654
Tm4 0.676 0.563 0.654
Tm5 0.824 0.437 0.154
Tm6 0.824 0.063 0.154
Tm7 0.324 0.437 0.346
Tm8 0.324 0.063 0.346
Dy1 0.040 0.750 0.375
Dy2 0.540 0.750 0.125
Dy3 0.960 0.250 0.625
Dy4 0.460 0.250 0.875

---

# Ni3Hg2Se2 (GGA-PBE, relaxed)
# - E_tot (eV per formula unit) = -25.32
data_Ni3Hg2Se2
_symmetry_space_group_name_H-M 'P 1'
_symmetry_Int_Tables_number 1
_symmetry_space_group_name_Hall 'P 1'
_cell_length_a 5.864
_cell_length_b 5.864
_cell_length_c 5.864
_cell_angle_alpha 55.34
_cell_angle_beta 55.34
_cell_angle_gamma 55.34
loop_
_atom_site_label
_atom_site_fract_x
_atom_site_fract_y
_atom_site_fract_z
Hg1 0.500 0.500 0.500
Hg2 0.000 0.000 0.000
Ni1 0.500 0.000 0.500
Ni2 0.000 0.500 0.500
Ni3 0.500 0.500 0.000
Se1 0.222 0.222 0.222
Se2 0.778 0.778 0.778